VASP calculation (PBE with a Hubbard U) on a geometry-optimized NiSnI2O structure.

abc: 6.0490 6.0490 4.0229
angles: 90.00 90.00 90.00
With the nearest neighbours (Å) after each atom.
Sites, in units of the cell vectors:
Sn  0.0000  0.0000  0.0000  2 O 2.01
Ni  0.5000  0.5000  0.5000  8 I 3.63, 2 Ni 4.02
I  0.5000  0.0000  0.0000  2 Sn 3.02
I  0.0000  0.5000  0.0000  2 Sn 3.02
O  0.0000  0.0000  0.5000  2 Sn 2.01

For the total magnetization, the calculation gives 1.06 μB/cell. The total energy is -2.91 eV per atom.